HfZrTa2Ru | meta-GGA SCAN | single point on PBEsol structure

Cell: 4.809 4.809 4.616 Å, 90.00 90.00 90.00°
Fractional coordinates of all 5 atoms:
Hf: 0.000 0.000 0.000
Zr: 0.500 0.500 0.500
Ta: 0.000 0.500 0.500
Ta: 0.500 0.000 0.500
Ru: 0.500 0.500 0.000

Calculated values
formation energy from the elements: 1.5523 eV/atom